# YMo3H | the Alexandria database | PBE | optimized geometry
# Space group: Pm-3m (221)
# Fermi-level density of states, states/eV per cell: 7.2
# Size of the total moment, μB per formula unit: 0.00
# ΔE to the lowest computed polymorph, meV per atom: 2706
data_YMo3H
_cell_length_a 4.847
_cell_length_b 4.847
_cell_length_c 4.847
_cell_angle_alpha 90.00
_cell_angle_beta 90.00
_cell_angle_gamma 90.00
_space_group_name_H-M_alt 'P 1'
_space_group_IT_number 1
loop_
_space_group_symop_operation_xyz
'x,y,z'
loop_
_atom_site_label
_atom_site_type_symbol
_atom_site_fract_x
_atom_site_fract_y
_atom_site_fract_z
_atom_site_occupancy
Y1 Y 0.000 0.000 0.000 1
Mo1 Mo 0.000 0.000 0.500 1
Mo2 Mo 0.000 0.500 0.000 1
Mo3 Mo 0.500 0.000 0.000 1
H1 H 0.500 0.500 0.500 1

# YMoH2 | the Alexandria database | PBE | optimized geometry
# Space group: Fm-3m (225)
# Fermi-level density of states, states/eV per cell: 12.7
# Size of the total moment, μB per formula unit: 0.00
# ΔE to the lowest computed polymorph, meV per atom: 627
data_YMoH2
_cell_length_a 5.793
_cell_length_b 5.793
_cell_length_c 5.793
_cell_angle_alpha 90.00
_cell_angle_beta 90.00
_cell_angle_gamma 90.00
_space_group_name_H-M_alt 'P 1'
_space_group_IT_number 1
loop_
_space_group_symop_operation_xyz
'x,y,z'
loop_
_atom_site_label
_atom_site_type_symbol
_atom_site_fract_x
_atom_site_fract_y
_atom_site_fract_z
_atom_site_occupancy
Y1 Y 0.000 0.000 0.000 1
Y2 Y 0.000 0.500 0.500 1
Y3 Y 0.500 0.000 0.500 1
Y4 Y 0.500 0.500 0.000 1
Mo1 Mo 0.000 0.000 0.500 1
Mo2 Mo 0.000 0.500 0.000 1
Mo3 Mo 0.500 0.000 0.000 1
Mo4 Mo 0.500 0.500 0.500 1
H1 H 0.250 0.250 0.250 1
H2 H 0.250 0.250 0.750 1
H3 H 0.250 0.750 0.250 1
H4 H 0.250 0.750 0.750 1
H5 H 0.750 0.250 0.250 1
H6 H 0.750 0.250 0.750 1
H7 H 0.750 0.750 0.250 1
H8 H 0.750 0.750 0.750 1